Entry from Alexandria via LeMat-Bulk: a relaxed PaTlCoO6 crystal (PBE+U).

The calculation puts the total energy at -6.8652 eV/atom.

Lattice parameters (Å, degrees): 4.723 5.313 5.313 120.00 90.00 90.00
Atoms (fractional coordinates):
Pa (0.000, 0.333, 0.667)
Tl (0.500, 0.667, 0.333)
Co (0.500, 0.000, 0.000)
O (0.734, 0.696, 0.715)
O (0.734, 0.285, 0.980)
O (0.734, 0.020, 0.304)
O (0.266, 0.285, 0.304)
O (0.266, 0.696, 0.980)
O (0.266, 0.020, 0.715)